Entry from OQMD via LeMat-Bulk: a geometry-optimized NaTmFe structure (GGA-PBE).

a = 4.796 Å, b = 4.796 Å, c = 4.796 Å
α = 60.00°, β = 60.00°, γ = 60.00°
Atoms (fractional coordinates):
1 Fe 0.250 0.250 0.250
2 Na 0.750 0.750 0.750
3 Tm 0.000 0.000 0.000

SG = F-43m (216)

***

Entry from OQMD via LeMat-Bulk: a geometry-optimized Na2ZnFe structure (GGA-PBE).

a = 4.795 Å, b = 4.795 Å, c = 4.795 Å
α = 60.00°, β = 60.00°, γ = 60.00°
Last column: magnetic moment on the atom in μB.
Atoms (fractional coordinates):
1 Fe 0.250 0.250 0.250  2.91
2 Na 0.000 0.000 0.000  -0.01
3 Na 0.750 0.750 0.750  -0.01
4 Zn 0.500 0.500 0.500  -0.07

SG = F-43m (216)

***

Entry from OQMD via LeMat-Bulk: a geometry-optimized Na2ZnFe structure (GGA-PBE).

a = 4.802 Å, b = 4.832 Å, c = 6.765 Å
α = 91.59°, β = 93.52°, γ = 98.65°
Last column: magnetic moment on the atom in μB.
Atoms (fractional coordinates):
1 Fe 0.811 0.331 0.006  2.64
2 Fe 0.189 0.669 0.994  2.64
3 Na 0.744 0.832 0.245  -0.01
4 Na 0.254 0.695 0.473  0.00
5 Na 0.746 0.305 0.527  0.00
6 Na 0.256 0.168 0.755  -0.01
7 Zn 0.291 0.219 0.165  -0.06
8 Zn 0.709 0.781 0.835  -0.06

SG = P-1 (2)

***

Entry from OQMD via LeMat-Bulk: a geometry-optimized Nb2Fe structure (GGA-PBE).

a = 7.274 Å, b = 7.274 Å, c = 7.274 Å
α = 60.00°, β = 60.00°, γ = 60.00°
Last column: magnetic moment on the atom in μB.
Atoms (fractional coordinates):
1 Fe 0.250 0.250 0.250  -0.41
2 Fe 0.500 0.500 0.500  -0.41
3 Nb 0.875 0.375 0.375  1.58
4 Nb 0.375 0.875 0.375  1.36
5 Nb 0.375 0.375 0.375  1.28
6 Nb 0.375 0.375 0.875  1.25

SG = Fd-3m (227)
energy of formation from the pure elements = 8.504 eV/f.u.

***

Entry from OQMD via LeMat-Bulk: a geometry-optimized Nb2Fe structure (GGA-PBE).

a = 5.306 Å, b = 5.306 Å, c = 5.306 Å
α = 60.00°, β = 60.00°, γ = 60.00°
Last column: magnetic moment on the atom in μB.
Atoms (fractional coordinates):
1 Fe 0.000 0.000 0.000  2.83
2 Fe 0.250 0.250 0.250  2.83
3 Nb 0.625 0.625 0.125  -0.12
4 Nb 0.625 0.125 0.625  -0.09
5 Nb 0.125 0.625 0.625  -0.23
6 Nb 0.625 0.625 0.625  -0.15

SG = Fd-3m (227)
energy of formation from the pure elements = 1.804 eV/f.u.

***

Entry from OQMD via LeMat-Bulk: a geometry-optimized NdNbFe structure (GGA-PBE).

a = 4.488 Å, b = 4.488 Å, c = 4.488 Å
α = 60.00°, β = 60.00°, γ = 60.00°
Last column: magnetic moment on the atom in μB.
Atoms (fractional coordinates):
1 Fe 0.000 0.000 0.000  0.10
2 Nb 0.250 0.250 0.250  0.01
3 Nd 0.750 0.750 0.750  0.01

SG = F-43m (216)
energy of formation from the pure elements = 1.736 eV/f.u.

***

Entry from OQMD via LeMat-Bulk: a geometry-optimized NbFeNi structure (GGA-PBE).

a = 4.001 Å, b = 4.001 Å, c = 4.001 Å
α = 60.00°, β = 60.00°, γ = 60.00°
Atoms (fractional coordinates):
1 Fe 0.000 0.000 0.000
2 Nb 0.250 0.250 0.250
3 Ni 0.750 0.750 0.750

SG = F-43m (216)
energy of formation from the pure elements = 1.281 eV/f.u.

***

Entry from OQMD via LeMat-Bulk: a geometry-optimized NbFe2Ni structure (GGA-PBE).

a = 4.125 Å, b = 4.125 Å, c = 4.125 Å
α = 60.00°, β = 60.00°, γ = 60.00°
Atoms (fractional coordinates):
1 Fe 0.500 0.500 0.500
2 Fe 0.750 0.750 0.750
3 Nb 0.250 0.250 0.250
4 Ni 0.000 0.000 0.000

SG = F-43m (216)
energy of formation from the pure elements = 0.097 eV/f.u.

***

Entry from OQMD via LeMat-Bulk: a geometry-optimized NbFeNi structure (GGA-PBE).

a = 4.024 Å, b = 4.024 Å, c = 4.024 Å
α = 60.00°, β = 60.00°, γ = 60.00°
Atoms (fractional coordinates):
1 Fe 0.250 0.250 0.250
2 Nb 0.000 0.000 0.000
3 Ni 0.750 0.750 0.750

SG = F-43m (216)
energy of formation from the pure elements = 1.834 eV/f.u.

***

Entry from OQMD via LeMat-Bulk: a geometry-optimized NbFeNiPb structure (GGA-PBE).

a = 4.523 Å, b = 4.523 Å, c = 4.523 Å
α = 60.00°, β = 60.00°, γ = 60.00°
Atoms (fractional coordinates):
1 Fe 0.500 0.500 0.500
2 Nb 0.250 0.250 0.250
3 Ni 0.750 0.750 0.750
4 Pb 0.000 0.000 0.000

SG = F-43m (216)

***

Entry from OQMD via LeMat-Bulk: a geometry-optimized NbFeNiPb structure (GGA-PBE).

a = 4.454 Å, b = 4.454 Å, c = 4.454 Å
α = 60.00°, β = 60.00°, γ = 60.00°
Atoms (fractional coordinates):
1 Fe 0.750 0.750 0.750
2 Nb 0.500 0.500 0.500
3 Ni 0.250 0.250 0.250
4 Pb 0.000 0.000 0.000

SG = F-43m (216)

***

Entry from OQMD via LeMat-Bulk: a geometry-optimized NbFeNiSb structure (GGA-PBE).

a = 4.360 Å, b = 4.360 Å, c = 4.360 Å
α = 60.00°, β = 60.00°, γ = 60.00°
Atoms (fractional coordinates):
1 Fe 0.750 0.750 0.750
2 Nb 0.500 0.500 0.500
3 Ni 0.250 0.250 0.250
4 Sb 0.000 0.000 0.000

SG = F-43m (216)

***

Entry from OQMD via LeMat-Bulk: a geometry-optimized NbFeNiSb structure (GGA-PBE).

a = 4.432 Å, b = 4.432 Å, c = 4.432 Å
α = 60.00°, β = 60.00°, γ = 60.00°
Atoms (fractional coordinates):
1 Fe 0.750 0.750 0.750
2 Nb 0.250 0.250 0.250
3 Ni 0.500 0.500 0.500
4 Sb 0.000 0.000 0.000

SG = F-43m (216)

***

Entry from OQMD via LeMat-Bulk: a geometry-optimized NbFeNiSb structure (GGA-PBE).

a = 4.453 Å, b = 4.453 Å, c = 4.453 Å
α = 60.00°, β = 60.00°, γ = 60.00°
Atoms (fractional coordinates):
1 Fe 0.500 0.500 0.500
2 Nb 0.250 0.250 0.250
3 Ni 0.750 0.750 0.750
4 Sb 0.000 0.000 0.000

SG = F-43m (216)

***

Entry from OQMD via LeMat-Bulk: a geometry-optimized NbFeSiNi structure (GGA-PBE).

a = 4.201 Å, b = 4.201 Å, c = 4.201 Å
α = 60.00°, β = 60.00°, γ = 60.00°
Atoms (fractional coordinates):
1 Fe 0.750 0.750 0.750
2 Nb 0.250 0.250 0.250
3 Ni 0.500 0.500 0.500
4 Si 0.000 0.000 0.000

SG = F-43m (216)

***

Entry from OQMD via LeMat-Bulk: a geometry-optimized NbFeSiNi structure (GGA-PBE).

a = 4.162 Å, b = 4.162 Å, c = 4.162 Å
α = 60.00°, β = 60.00°, γ = 60.00°
Atoms (fractional coordinates):
1 Fe 0.750 0.750 0.750
2 Nb 0.500 0.500 0.500
3 Ni 0.250 0.250 0.250
4 Si 0.000 0.000 0.000

SG = F-43m (216)

***

Entry from OQMD via LeMat-Bulk: a geometry-optimized Nb2FeNiSn2 structure (GGA-PBE).

a = 7.324 Å, b = 7.324 Å, c = 5.989 Å
α = 114.13°, β = 114.13°, γ = 109.35°
Atoms (fractional coordinates):
1 Fe 0.000 0.000 0.000
2 Fe 0.250 0.750 0.500
3 Nb 0.125 0.375 0.012
4 Nb 0.363 0.113 0.488
5 Nb 0.887 0.637 0.512
6 Nb 0.625 0.875 0.988
7 Ni 0.500 0.500 0.000
8 Ni 0.750 0.250 0.500
9 Sn 0.379 0.129 0.004
10 Sn 0.625 0.875 0.496
11 Sn 0.125 0.375 0.504
12 Sn 0.871 0.621 0.996

SG = I-42d (122)

***

Entry from OQMD via LeMat-Bulk: a geometry-optimized NbTlFeNi structure (GGA-PBE).

a = 4.499 Å, b = 4.499 Å, c = 4.499 Å
α = 60.00°, β = 60.00°, γ = 60.00°
Atoms (fractional coordinates):
1 Fe 0.500 0.500 0.500
2 Nb 0.250 0.250 0.250
3 Ni 0.750 0.750 0.750
4 Tl 0.000 0.000 0.000

SG = F-43m (216)

***

Entry from OQMD via LeMat-Bulk: a geometry-optimized NbTlFeNi structure (GGA-PBE).

a = 4.424 Å, b = 4.424 Å, c = 4.424 Å
α = 60.00°, β = 60.00°, γ = 60.00°
Atoms (fractional coordinates):
1 Fe 0.750 0.750 0.750
2 Nb 0.500 0.500 0.500
3 Ni 0.250 0.250 0.250
4 Tl 0.000 0.000 0.000

SG = F-43m (216)

***

Entry from OQMD via LeMat-Bulk: a geometry-optimized NbFeOs2 structure (GGA-PBE).

a = 4.374 Å, b = 4.374 Å, c = 4.374 Å
α = 60.00°, β = 60.00°, γ = 60.00°
Atoms (fractional coordinates):
1 Fe 0.250 0.250 0.250
2 Nb 0.500 0.500 0.500
3 Os 0.000 0.000 0.000
4 Os 0.750 0.750 0.750

SG = F-43m (216)
energy of formation from the pure elements = 0.789 eV/f.u.

***

Entry from OQMD via LeMat-Bulk: a geometry-optimized NbFeOs structure (GGA-PBE).

a = 4.170 Å, b = 4.170 Å, c = 4.170 Å
α = 60.00°, β = 60.00°, γ = 60.00°
Atoms (fractional coordinates):
1 Fe 0.250 0.250 0.250
2 Nb 0.000 0.000 0.000
3 Os 0.750 0.750 0.750

SG = F-43m (216)
energy of formation from the pure elements = 2.284 eV/f.u.

***

Entry from OQMD via LeMat-Bulk: a geometry-optimized Nb2FeOs structure (GGA-PBE).

a = 4.431 Å, b = 4.431 Å, c = 4.431 Å
α = 60.00°, β = 60.00°, γ = 60.00°
Atoms (fractional coordinates):
1 Fe 0.250 0.250 0.250
2 Nb 0.000 0.000 0.000
3 Nb 0.750 0.750 0.750
4 Os 0.500 0.500 0.500

SG = F-43m (216)
energy of formation from the pure elements = -0.161 eV/f.u.

***

Entry from OQMD via LeMat-Bulk: a geometry-optimized Nb2FeOs3 structure (GGA-PBE).

a = 5.131 Å, b = 5.131 Å, c = 8.078 Å
α = 90.00°, β = 90.00°, γ = 120.00°
Last column: magnetic moment on the atom in μB.
Atoms (fractional coordinates):
1 Fe 0.000 0.000 0.000  -1.23
2 Fe 0.000 0.000 0.500  -1.26
3 Nb 0.333 0.667 0.066  0.16
4 Nb 0.333 0.667 0.434  0.17
5 Nb 0.667 0.333 0.566  0.17
6 Nb 0.667 0.333 0.934  0.16
7 Os 0.339 0.170 0.250  0.08
8 Os 0.830 0.170 0.250  0.12
9 Os 0.830 0.661 0.250  0.11
10 Os 0.170 0.339 0.750  0.11
11 Os 0.170 0.830 0.750  0.12
12 Os 0.661 0.830 0.750  0.08

SG = P6_3/mmc (194)
energy of formation from the pure elements = -0.642 eV/f.u.

***

Entry from OQMD via LeMat-Bulk: a geometry-optimized NbFeOs structure (GGA-PBE).

a = 4.078 Å, b = 4.078 Å, c = 4.078 Å
α = 60.00°, β = 60.00°, γ = 60.00°
Atoms (fractional coordinates):
1 Fe 0.000 0.000 0.000
2 Nb 0.250 0.250 0.250
3 Os 0.750 0.750 0.750

SG = F-43m (216)
energy of formation from the pure elements = 1.272 eV/f.u.

***

Entry from OQMD via LeMat-Bulk: a geometry-optimized Nb2FeSb2Os structure (GGA-PBE).

a = 7.481 Å, b = 4.309 Å, c = 14.299 Å
α = 90.00°, β = 99.84°, γ = 90.00°
Atoms (fractional coordinates):
1 Fe 0.500 0.000 0.501
2 Fe 0.001 0.500 0.503
3 Fe 0.247 0.000 0.747
4 Fe 0.000 0.000 0.998
5 Nb 0.182 0.500 0.060
6 Nb 0.693 0.000 0.060
7 Nb 0.941 0.500 0.320
8 Nb 0.440 0.000 0.320
9 Nb 0.687 0.500 0.560
10 Nb 0.186 0.000 0.563
11 Nb 0.430 0.500 0.808
12 Nb 0.943 0.000 0.812
13 Os 0.250 0.500 0.253
14 Os 0.753 0.000 0.254
15 Os 0.750 0.500 0.748
16 Os 0.499 0.500 0.997
17 Sb 0.062 0.000 0.182
18 Sb 0.563 0.500 0.187
19 Sb 0.816 0.000 0.445
20 Sb 0.314 0.500 0.445
21 Sb 0.551 0.000 0.683
22 Sb 0.070 0.500 0.685
23 Sb 0.302 0.000 0.932
24 Sb 0.822 0.500 0.938

SG = Pm (6)

***

Entry from OQMD via LeMat-Bulk: a geometry-optimized NbFeSbOs structure (GGA-PBE).

a = 4.494 Å, b = 4.494 Å, c = 4.494 Å
α = 60.00°, β = 60.00°, γ = 60.00°
Atoms (fractional coordinates):
1 Fe 0.750 0.750 0.750
2 Nb 0.500 0.500 0.500
3 Os 0.250 0.250 0.250
4 Sb 0.000 0.000 0.000

SG = F-43m (216)

***

Entry from OQMD via LeMat-Bulk: a geometry-optimized NbFeSiOs structure (GGA-PBE).

a = 4.328 Å, b = 4.328 Å, c = 4.328 Å
α = 60.00°, β = 60.00°, γ = 60.00°
Atoms (fractional coordinates):
1 Fe 0.750 0.750 0.750
2 Nb 0.250 0.250 0.250
3 Os 0.500 0.500 0.500
4 Si 0.000 0.000 0.000

SG = F-43m (216)

***

Entry from OQMD via LeMat-Bulk: a geometry-optimized NbFeSiOs structure (GGA-PBE).

a = 4.280 Å, b = 4.280 Å, c = 4.280 Å
α = 60.00°, β = 60.00°, γ = 60.00°
Atoms (fractional coordinates):
1 Fe 0.750 0.750 0.750
2 Nb 0.500 0.500 0.500
3 Os 0.250 0.250 0.250
4 Si 0.000 0.000 0.000

SG = F-43m (216)

***

no.,magnetic moment (Bohr magnetons per cell),total energy (eV/atom)
1,2.06,-3.561
2,2.74,-2.508
3,5.05,-2.677
4,6.47,-6.664
5,4.77,-8.898
6,0.14,-7.143
7,0.87,-7.563
8,3.50,-8.046
9,0.00,-7.379
10,2.08,-6.533
11,1.49,-6.702
12,0.00,-7.041
13,1.83,-6.880
14,2.02,-6.901
15,1.72,-7.539
16,1.17,-7.652
17,0.01,-7.273
18,2.01,-6.196
19,1.82,-6.374
20,2.66,-10.016
21,1.82,-9.115
22,2.05,-9.971
23,1.06,-10.469
24,0.78,-9.452
25,0.01,-8.283
26,2.02,-8.329
27,3.14,-8.733
28,0.93,-9.018